Entry from the Alexandria database: a crystal of CrFe2Re relaxed with PBEsol (meta-GGA SCAN).

Lattice parameters (Å, degrees): 2.9547 3.9654 4.0814 90.00 90.00 90.00
Atoms (fractional coordinates):
Cr  0.0000  0.0000  0.0000
Fe  0.0000  0.5000  0.5000
Fe  0.5000  0.0000  0.5000
Re  0.5000  0.5000  0.0000

Values from the calculation:
**Fermi-level density of states**: 2.562 states/eV/cell
**Energy of formation**: 0.031 eV/atom
**Symmetry**: No. 47
**Total moment**: 4.7 μB per cell